Record 1
VASP calculation (PBE-GGA) on a relaxed HoSe2O8 crystal.

Output
* DFT total energy: -5.81 eV per atom
* size of the total moment: 0.547 μB/f.u.

Cell: 6.5241 6.5241 6.5245 Å, 120.00 120.00 90.00°
Fractional coordinates of all 11 atoms:
1 Ho 0.5000 0.5000 0.0000
2 Se 0.7500 0.2500 0.5000
3 Se 0.2500 0.7500 0.5000
4 O 0.6464 0.3537 0.2927
5 O 0.0611 0.3538 0.7073
6 O 0.6463 0.3536 0.7073
7 O 0.3536 0.0611 0.7073
8 O 0.6462 0.9389 0.2927
9 O 0.9389 0.6464 0.2927
10 O 0.3537 0.6462 0.2927
11 O 0.3538 0.6463 0.7073

Record 2
VASP calculation (PBE-GGA) on a relaxed Ho2Se3O9 crystal.

Output
* DFT total energy: -6.47 eV per atom
* size of the total moment: 0.000 μB/f.u.
* E above lowest polymorph: 0.017 eV/atom

Cell: 8.7390 8.7390 8.2470 Å, 90.00 90.00 120.00°
Fractional coordinates of all 28 atoms:
1 Ho 0.3333 0.6667 0.0402
2 Ho 0.3333 0.6667 0.4598
3 Ho 0.6667 0.3333 0.5402
4 Ho 0.6667 0.3333 0.9598
5 Se 0.0296 0.7245 0.7500
6 Se 0.2755 0.3051 0.7500
7 Se 0.6949 0.9704 0.7500
8 Se 0.3051 0.0296 0.2500
9 Se 0.7245 0.6949 0.2500
10 Se 0.9704 0.2755 0.2500
11 O 0.1496 0.7252 0.9134
12 O 0.1496 0.7252 0.5866
13 O 0.1428 0.4955 0.2500
14 O 0.3527 0.8572 0.2500
15 O 0.2748 0.4244 0.5866
16 O 0.2748 0.4244 0.9134
17 O 0.5756 0.8504 0.5866
18 O 0.5756 0.8504 0.9134
19 O 0.5045 0.6473 0.2500
20 O 0.4955 0.3527 0.7500
21 O 0.4244 0.1496 0.4134
22 O 0.4244 0.1496 0.0866
23 O 0.7252 0.5756 0.0866
24 O 0.7252 0.5756 0.4134
25 O 0.6473 0.1428 0.7500
26 O 0.8572 0.5045 0.7500
27 O 0.8504 0.2748 0.0866
28 O 0.8504 0.2748 0.4134

Record 3
VASP calculation (PBE-GGA) on a relaxed Ho2Se3O9 crystal.

Output
* DFT total energy: -6.41 eV per atom
* size of the total moment: 0.000 μB/f.u.
* E above lowest polymorph: 0.075 eV/atom

Cell: 6.6888 8.5570 13.8328 Å, 90.00 90.00 90.00°
Fractional coordinates of all 56 atoms:
1 Ho 0.1844 0.2243 0.5651
2 Ho 0.1844 0.2243 0.9350
3 Ho 0.3156 0.7243 0.5651
4 Ho 0.3156 0.7243 0.9350
5 Ho 0.6844 0.2757 0.0650
6 Ho 0.6844 0.2757 0.4350
7 Ho 0.8156 0.7757 0.0650
8 Ho 0.8156 0.7757 0.4350
9 Se 0.0999 0.9823 0.7500
10 Se 0.1794 0.4435 0.1260
11 Se 0.1794 0.4435 0.3740
12 Se 0.3206 0.9435 0.1260
13 Se 0.3206 0.9435 0.3740
14 Se 0.4001 0.4823 0.7500
15 Se 0.5999 0.5177 0.2500
16 Se 0.6794 0.0565 0.6260
17 Se 0.6794 0.0565 0.8740
18 Se 0.8206 0.5565 0.6260
19 Se 0.8206 0.5565 0.8740
20 Se 0.9001 0.0177 0.2500
21 O 0.0288 0.2839 0.0966
22 O 0.0288 0.2839 0.4034
23 O 0.0903 0.1844 0.7500
24 O 0.0985 0.6059 0.0656
25 O 0.0985 0.6059 0.4344
26 O 0.1292 0.9018 0.0454
27 O 0.1292 0.9018 0.4546
28 O 0.2514 0.9648 0.8513
29 O 0.2514 0.9648 0.6487
30 O 0.2486 0.4648 0.8513
31 O 0.2486 0.4648 0.6487
32 O 0.3708 0.4018 0.0454
33 O 0.3708 0.4018 0.4546
34 O 0.4015 0.1059 0.0656
35 O 0.4015 0.1059 0.4344
36 O 0.4097 0.6844 0.7500
37 O 0.4712 0.7839 0.0966
38 O 0.4712 0.7839 0.4034
39 O 0.5288 0.2161 0.5966
40 O 0.5288 0.2161 0.9034
41 O 0.5903 0.3156 0.2500
42 O 0.5985 0.8941 0.5656
43 O 0.5985 0.8941 0.9344
44 O 0.6292 0.5982 0.5454
45 O 0.6292 0.5982 0.9546
46 O 0.7514 0.5352 0.1487
47 O 0.7514 0.5352 0.3513
48 O 0.7486 0.0352 0.1487
49 O 0.7486 0.0352 0.3513
50 O 0.8708 0.0982 0.5454
51 O 0.8708 0.0982 0.9546
52 O 0.9015 0.3941 0.5656
53 O 0.9015 0.3941 0.9344
54 O 0.9097 0.8156 0.2500
55 O 0.9712 0.7161 0.5966
56 O 0.9712 0.7161 0.9034

Record 4
VASP calculation (PBE-GGA) on a relaxed Ho4Se5O crystal.

Output
* DFT total energy: -6.03 eV per atom
* size of the total moment: 0.000 μB/f.u.

Cell: 3.7745 7.4009 9.8174 Å, 112.16 101.08 90.00°
Fractional coordinates of all 10 atoms:
1 Ho 0.2809 0.7810 0.5619
2 Ho 0.0000 0.7815 0.0000
3 Ho 0.7191 0.2190 0.4381
4 Ho 0.0000 0.2185 0.0000
5 Se 0.8406 0.5945 0.6813
6 Se 0.8406 0.0870 0.6813
7 Se 0.1594 0.9130 0.3187
8 Se 0.5000 0.5000 0.0000
9 Se 0.1594 0.4055 0.3187
10 O 0.5000 0.0000 0.0000

Question: What is the DFT total energy in the fourth record?
Answer: -6.03 eV per atom

Question: Which of these has the highest DFT total energy?
Answer: HoSe2O8

Question: The highest size of the total moment belongs to which entry?
Answer: HoSe2O8